Record 1
ZrHgRuRh: optimized geometry, PBE.

Calculated values
The space-group type is F-43m. The formation energy comes out at -0.2478 eV/atom.

Cell lengths 4.611, 4.611, 4.611 Å; angles 60.00, 60.00, 60.00 degrees
Fractional positions:
Zr  0.000  0.000  0.000
Hg  0.500  0.500  0.500
Ru  0.250  0.250  0.250
Rh  0.750  0.750  0.750

---

Record 2
Hg3Rh5S12: optimized geometry, PBE.

Calculated values
The space-group type is Ia-3d. The formation energy without anion corrections is -0.050 eV/atom.

Cell lengths 12.854, 12.854, 12.854 Å; angles 109.47, 109.47, 109.47 degrees
Fractional positions:
Hg  0.125  0.250  0.375
Hg  0.125  0.375  0.750
Hg  0.250  0.375  0.125
Hg  0.250  0.875  0.625
Hg  0.375  0.125  0.250
Hg  0.375  0.750  0.125
Hg  0.625  0.250  0.875
Hg  0.625  0.875  0.750
Hg  0.750  0.125  0.375
Hg  0.750  0.625  0.875
Hg  0.875  0.625  0.250
Hg  0.875  0.750  0.625
Rh  0.000  0.000  0.000
Rh  0.000  0.000  0.500
Rh  0.000  0.500  0.000
Rh  0.000  0.500  0.500
Rh  0.125  0.750  0.875
Rh  0.125  0.875  0.250
Rh  0.250  0.125  0.875
Rh  0.250  0.625  0.375
Rh  0.375  0.250  0.625
Rh  0.375  0.625  0.750
Rh  0.500  0.000  0.000
Rh  0.500  0.000  0.500
Rh  0.500  0.500  0.000
Rh  0.500  0.500  0.500
Rh  0.625  0.375  0.250
Rh  0.625  0.750  0.375
Rh  0.750  0.375  0.625
Rh  0.750  0.875  0.125
Rh  0.875  0.125  0.750
Rh  0.875  0.250  0.125
S  0.025  0.203  0.117
S  0.025  0.322  0.908
S  0.086  0.703  0.678
S  0.086  0.883  0.408
S  0.092  0.617  0.414
S  0.092  0.975  0.678
S  0.117  0.025  0.203
S  0.117  0.592  0.914
S  0.178  0.203  0.586
S  0.178  0.475  0.592
S  0.203  0.117  0.025
S  0.203  0.586  0.178
S  0.297  0.322  0.914
S  0.297  0.475  0.383
S  0.322  0.908  0.025
S  0.322  0.914  0.297
S  0.383  0.297  0.475
S  0.383  0.586  0.908
S  0.408  0.086  0.883
S  0.408  0.822  0.525
S  0.414  0.092  0.617
S  0.414  0.822  0.797
S  0.475  0.383  0.297
S  0.475  0.592  0.178
S  0.525  0.408  0.822
S  0.525  0.617  0.703
S  0.586  0.178  0.203
S  0.586  0.908  0.383
S  0.592  0.178  0.475
S  0.592  0.914  0.117
S  0.617  0.414  0.092
S  0.617  0.703  0.525
S  0.678  0.086  0.703
S  0.678  0.092  0.975
S  0.703  0.525  0.617
S  0.703  0.678  0.086
S  0.797  0.414  0.822
S  0.797  0.883  0.975
S  0.822  0.525  0.408
S  0.822  0.797  0.414
S  0.883  0.408  0.086
S  0.883  0.975  0.797
S  0.908  0.025  0.322
S  0.908  0.383  0.586
S  0.914  0.117  0.592
S  0.914  0.297  0.322
S  0.975  0.678  0.092
S  0.975  0.797  0.883

---

Record 3
HgRh2S: optimized geometry, PBE.

Calculated values
The space-group type is I-42d. The formation energy without anion corrections is 0.068 eV/atom.

Cell lengths 5.699, 5.699, 5.699 Å; angles 106.64, 106.64, 115.29 degrees
Fractional positions:
Hg  0.000  0.000  0.000
Hg  0.750  0.250  0.500
Rh  0.203  0.125  0.578
Rh  0.375  0.797  0.922
Rh  0.547  0.625  0.422
Rh  0.875  0.453  0.078
S  0.250  0.750  0.500
S  0.500  0.500  0.000